The following is a DFT calculation (PBE) of an optimized crystal structure of SrHf2HO5.

```
data_SrHf2HO5
_chemical_formula_sum 'Sr1 Hf2 H1 O5'
_space_group_name_H-M_alt 'P 4/m m m'
_space_group_IT_number 123
_space_group_name_Hall '-P 4 2'
_cell_length_a 4.094
_cell_length_b 4.094
_cell_length_c 8.185
_cell_angle_alpha 90.00
_cell_angle_beta 90.00
_cell_angle_gamma 90.00
loop_
_atom_site_label
_atom_site_type_symbol
_atom_site_fract_x
_atom_site_fract_y
_atom_site_fract_z
Sr1 Sr 0.000 0.000 0.000
Hf1 Hf 0.500 0.500 0.254
H1 H 0.500 0.500 0.500
O1 O 0.000 0.500 0.231
O2 O 0.500 0.500 0.000
```

Results
Raw total energy ... -8.159 eV per atom
Total moment ... 0.1114 μB/atom
Density of states at the Fermi level ... 6.385 states/eV per cell